First-principles (meta-GGA SCAN) data for a PBEsol-optimized structure of ZnAsPb, as listed in Alexandria.

Unit cell a=4.049 b=4.049 c=4.772 alpha=90.00 beta=90.00 gamma=120.00
Fractional positions:
As (0.000, 0.000, 0.088)
Pb (0.333, 0.667, 0.661)
Zn (0.667, 0.333, 0.251)

Output
- Energy above the lowest structure with this stoichiometry: 0 meV/atom
- Formation enthalpy at 0 K: 10 meV per atom
- N(E_F): 1.16 states/eV/f.u.

First-principles (meta-GGA SCAN) data for a PBEsol-optimized structure of ZnAsPb, as listed in Alexandria.

Unit cell a=3.491 b=3.491 c=5.908 alpha=107.18 beta=107.18 gamma=90.00
Fractional positions:
Zn (0.375, 0.375, 0.749)
Pb (0.669, 0.669, 0.338)
As (0.956, 0.956, 0.913)

Output
- Energy above the lowest structure with this stoichiometry: 196 meV/atom
- Formation enthalpy at 0 K: 206 meV per atom
- N(E_F): 1.49 states/eV/f.u.